Entry w
VASP calculation (GGA-PBE) on a geometry-optimized VTcB2 structure.

CIF file:
```
data_VTcB2
_cell_length_a 2.982
_cell_length_b 4.395
_cell_length_c 5.827
_cell_angle_alpha 90.00
_cell_angle_beta 90.00
_cell_angle_gamma 90.00
_symmetry_space_group_name_H-M 'P m c 21'
_symmetry_Int_Tables_number 26
loop_
_symmetry_equiv_pos_as_xyz
'x,y,z'
'-x,-y,z+1/2'
'-x,y,z'
'x,-y,z+1/2'
loop_
_atom_site_label
_atom_site_type_symbol
_atom_site_fract_x
_atom_site_fract_y
_atom_site_fract_z
V1 V 0.000 0.132 0.000
Tc1 Tc 0.500 0.359 0.357
B1 B 0.000 0.348 0.650
B2 B 0.500 0.141 0.715
```

## Properties
N(E_F) in states/eV per atom: 0.6129



Entry x
VASP calculation (GGA-PBE) on a geometry-optimized VTcB2 structure.

CIF file:
```
data_VTcB2
_cell_length_a 3.0449
_cell_length_b 3.0449
_cell_length_c 15.2443
_cell_angle_alpha 90.00
_cell_angle_beta 90.00
_cell_angle_gamma 120.00
_symmetry_space_group_name_H-M 'R -3 m'
_symmetry_Int_Tables_number 166
_symmetry_space_group_name_Hall '-R 3 2"'
loop_
_atom_site_label
_atom_site_type_symbol
_atom_site_fract_x
_atom_site_fract_y
_atom_site_fract_z
V1 V 0.0000 0.0000 0.0000
Tc1 Tc 0.0000 0.0000 0.5000
B1 B 0.0000 0.0000 0.2525
```

## Properties
N(E_F) in states/eV per atom: 0.5016



Which is most stable? The ranking, best first, is entry w, entry x.